DFT (PBE with a Hubbard U) results for crystalline V2PbO6 at its relaxed geometry.

The energy above the lowest structure with this stoichiometry comes out at 4.0 meV per atom. As for the total magnetic moment: 0.000 μB per formula unit.

The structure belongs to space group C2/c (No. 15); the cell edges are 11.1610, 10.6039 and 6.0223 Å and the angles 90.00°, 108.90° and 90.00°. The inequivalent atoms are V at (0.2025, 0.0750, 0.2324), Pb at (0.0000, 0.3772, 0.2500), O at (0.1361, 0.4366, 0.6642), O at (0.1443, 0.0036, 0.4507) and O at (0.1582, 0.2267, 0.2052).